# V2AsRhPb

A geometry-optimized V2AsRhPb structure (PBE, Alexandria).

Density of states at the Fermi level = 5.76 states/eV per cell
Energy of formation from the pure elements = 0.7822 eV/atom

Unit cell a=4.765 b=4.765 c=5.086 alpha=90.00 beta=90.00 gamma=90.00
Fractional coordinates of all 5 atoms:
V 0.000 0.500 0.000
V 0.500 0.000 0.000
As 0.000 0.000 0.500
Rh 0.500 0.500 0.000
Pb 0.500 0.500 0.500